# 1
The following is a DFT calculation (PBE) of a relaxed LiPm2Ga crystal.

Space group: Fm-3m (225)
ΔH_f (0 K) (eV per atom): -0.30
Calculated total energy (eV/atom): -3.910

Unit cell a=5.2245 b=5.2245 c=5.2245 alpha=60.00 beta=60.00 gamma=60.00
With the nearest neighbours (Å) after each atom.
Sites, in units of the cell vectors:
Pm (0.0000, 0.0000, 0.0000)  4 Ga 3.20, 4 Li 3.20
Pm (0.5000, 0.5000, 0.5000)  4 Li 3.20, 4 Ga 3.20
Ga (0.2500, 0.2500, 0.2500)  8 Pm 3.20
Li (0.7500, 0.7500, 0.7500)  8 Pm 3.20

=====

# 2
The following is a DFT calculation (PBE) of a relaxed LiPmGa2 crystal.

Space group: P4/mmm (123)
ΔH_f (0 K) (eV per atom): -0.42
Calculated total energy (eV/atom): -3.604

Unit cell a=3.4180 b=3.4180 c=6.8988 alpha=90.00 beta=90.00 gamma=90.00
With the nearest neighbours (Å) after each atom.
Sites, in units of the cell vectors:
Pm (0.5000, 0.5000, 0.5000)  8 Ga 3.19, 4 Pm 3.42, 2 Li 3.45
Li (0.5000, 0.5000, 0.0000)  8 Ga 2.78
Ga (0.0000, 0.0000, 0.8015)  1 Ga 2.74, 4 Li 2.78
Ga (0.0000, 0.0000, 0.1985)  1 Ga 2.74, 4 Li 2.78

=====

# 3
The following is a DFT calculation (PBE) of a relaxed LiPmGa2 crystal.

Space group: Fm-3m (225)
ΔH_f (0 K) (eV per atom): -0.45
Calculated total energy (eV/atom): -3.627

Unit cell a=4.9083 b=4.9083 c=4.9083 alpha=60.00 beta=60.00 gamma=60.00
With the nearest neighbours (Å) after each atom.
Sites, in units of the cell vectors:
Ga (0.0000, 0.0000, 0.0000)  4 Li 3.01, 4 Pm 3.01
Ga (0.5000, 0.5000, 0.5000)  4 Pm 3.01, 4 Li 3.01
Li (0.7500, 0.7500, 0.7500)  8 Ga 3.01
Pm (0.2500, 0.2500, 0.2500)  8 Ga 3.01

=====

# 4
The following is a DFT calculation (PBE) of a relaxed LiPm3Ga crystal.

Space group: R-3m (166)
ΔH_f (0 K) (eV per atom): 0.09
Relative energy among the computed polymorphs (meV per atom): 303
Calculated total energy (eV/atom): -3.750

Unit cell a=6.7250 b=6.7250 c=9.4237 alpha=69.10 beta=69.10 gamma=60.00
With the nearest neighbours (Å) after each atom.
Sites, in units of the cell vectors:
Pm (0.1038, 0.6137, 0.6692)  3 Ga 3.11-3.39, 4 Pm 3.30-3.43, 2 Li 3.42-3.47
Pm (0.3863, 0.8962, 0.3308)  3 Ga 3.11-3.39, 4 Pm 3.30-3.43, 2 Li 3.42-3.47
Pm (0.3866, 0.3863, 0.3308)  3 Ga 3.11-3.39, 4 Pm 3.30-3.43, 2 Li 3.42-3.47
Pm (0.6134, 0.1038, 0.6692)  3 Ga 3.11-3.39, 4 Pm 3.30-3.43, 2 Li 3.42-3.47
Pm (0.8962, 0.3866, 0.3308)  3 Ga 3.11-3.39, 4 Pm 3.30-3.43, 2 Li 3.42-3.47
Pm (0.6137, 0.6134, 0.6692)  3 Ga 3.11-3.39, 4 Pm 3.30-3.43, 2 Li 3.42-3.47
Ga (0.8725, 0.8725, 0.3826)  9 Pm 3.11-3.39
Ga (0.1275, 0.1275, 0.6174)  9 Pm 3.11-3.39
Li (0.6669, 0.6669, 0.9994)  6 Pm 3.42-3.47
Li (0.3331, 0.3331, 0.0006)  6 Pm 3.42-3.47

=====

# 5
The following is a DFT calculation (PBE) of a relaxed Li2PmGa2 crystal.

Space group: Imma (74)
ΔH_f (0 K) (eV per atom): -0.38
Relative energy among the computed polymorphs (meV per atom): 0
Calculated total energy (eV/atom): -3.309

Unit cell a=4.4279 b=3.7523 c=12.8759 alpha=98.38 beta=99.90 gamma=90.00
With the nearest neighbours (Å) after each atom.
Sites, in units of the cell vectors:
Li (0.5447, 0.2947, 0.0894)  2 Ga 2.65, 6 Li 2.91-2.92
Li (0.0537, 0.8037, 0.1075)  2 Ga 2.75, 4 Li 2.91
Li (0.9463, 0.1963, 0.8925)  2 Ga 2.75, 4 Li 2.91
Li (0.4553, 0.7053, 0.9106)  2 Ga 2.65, 6 Li 2.91-2.92
Pm (0.8280, 0.5780, 0.6560)  10 Ga 3.17-3.23, 2 Li 3.51
Pm (0.1720, 0.4220, 0.3440)  10 Ga 3.17-3.23, 2 Li 3.51
Ga (0.6190, 0.8690, 0.2380)  1 Ga 2.62, 4 Li 2.65-2.75
Ga (0.7233, 0.9733, 0.4466)  3 Ga 2.59-2.62
Ga (0.2767, 0.0267, 0.5534)  3 Ga 2.59-2.62
Ga (0.3810, 0.1310, 0.7620)  1 Ga 2.62, 4 Li 2.65-2.75

=====

# 6
The following is a DFT calculation (PBE) of a relaxed LiPm2Ga crystal.

Space group: P4/mmm (123)
ΔH_f (0 K) (eV per atom): -0.28
Calculated total energy (eV/atom): -3.892

Unit cell a=3.8074 b=5.1603 c=5.1603 alpha=90.00 beta=90.00 gamma=90.00
With the nearest neighbours (Å) after each atom.
Sites, in units of the cell vectors:
Ga (0.5000, 0.5000, 0.5000)  8 Pm 3.21
Pm (0.0000, 0.5000, 0.0000)  4 Ga 3.21, 4 Li 3.21
Pm (0.0000, 0.0000, 0.5000)  4 Ga 3.21, 4 Li 3.21
Li (0.5000, 0.0000, 0.0000)  8 Pm 3.21

=====

# 7
The following is a DFT calculation (PBE) of a relaxed LiPmGa2Pt5 crystal.

Space group: P4/mmm (123)
ΔH_f (0 K) (eV per atom): -0.72
Calculated total energy (eV/atom): -5.485

Unit cell a=4.1266 b=4.1266 c=9.6358 alpha=90.00 beta=90.00 gamma=90.00
With the nearest neighbours (Å) after each atom.
Sites, in units of the cell vectors:
Pt (0.0000, 0.5000, 0.2732)  2 Ga 2.49
Pt (0.0000, 0.5000, 0.7268)  2 Ga 2.49
Pt (0.5000, 0.5000, 0.5000)  4 Pm 2.92, 8 Pt 3.01
Pt (0.5000, 0.0000, 0.2732)  2 Ga 2.49
Pt (0.5000, 0.0000, 0.7268)  2 Ga 2.49
Li (0.0000, 0.0000, 0.0000)  8 Ga 3.17, 8 Pt 3.34
Ga (0.5000, 0.5000, 0.1280)  1 Ga 2.47, 4 Pt 2.49
Ga (0.5000, 0.5000, 0.8720)  1 Ga 2.47, 4 Pt 2.49
Pm (0.0000, 0.0000, 0.5000)  12 Pt 2.92-3.01

=====

# 8
The following is a DFT calculation (PBE) of a relaxed LiPmGaPt crystal.

Space group: F-43m (216)
ΔH_f (0 K) (eV per atom): -0.69
Relative energy among the computed polymorphs (meV per atom): 0
Calculated total energy (eV/atom): -4.627

Unit cell a=4.7412 b=4.7412 c=4.7412 alpha=60.00 beta=60.00 gamma=60.00
With the nearest neighbours (Å) after each atom.
Sites, in units of the cell vectors:
Li (0.2500, 0.2500, 0.2500)  4 Pm 2.90, 4 Ga 2.90
Pt (0.7500, 0.7500, 0.7500)  4 Pm 2.90, 4 Ga 2.90
Pm (0.5000, 0.5000, 0.5000)  4 Li 2.90, 4 Pt 2.90
Ga (0.0000, 0.0000, 0.0000)  4 Li 2.90, 4 Pt 2.90